The following is a DFT calculation (GGA-PBE) of a relaxed Ta2IrPt crystal.

```
Ta2IrPt
1.0
-3.972 2.424 -0.391
-0.343 -0.108 2.809
2.510 4.233 0.737
Ir Pt Ta
1 1 2
direct
0.000 0.625 0.441 Ir
0.500 0.623 0.804 Pt
0.000 0.061 0.944 Ta
0.500 0.191 0.312 Ta
```

Computed properties:
The symmetry is No. 6. Its formation enthalpy at 0 K is -2.44 eV per formula unit. The value obtained for the calculated volume is 65.71 Å³/cell.